1.
Here is a relaxed Fe2CoSbN crystal from Alexandria. Energies are from PBE.

Summary:
- energy (eV per atom) = -7.2420
- E_form (uncorrected) (meV per atom) = 54
- density of states at the Fermi level (states/eV/f.u.) = 4.76

Cell: 3.904 3.904 3.924 Å, 90.00 90.00 90.00°
Sites, in units of the cell vectors:
Fe1 0.000 0.500 0.000
Fe2 0.500 0.000 0.000
Co1 0.000 0.000 0.500
Sb1 0.500 0.500 0.500
N1 0.000 0.000 0.000

***

2.
Here is a relaxed NaSr2CrCl8 crystal from Alexandria. Energies are from PBE.

Summary:
- energy (eV per atom) = -4.2749
- E_form (uncorrected) (meV per atom) = -1852

Cell: 6.239 8.630 6.393 Å, 90.00 90.91 90.00°
Sites, in units of the cell vectors:
Na1 0.000 0.000 0.000
Sr1 0.500 0.254 0.500
Sr2 0.500 0.746 0.500
Cr1 0.000 0.500 0.000
Cl1 0.210 0.299 0.853
Cl2 0.210 0.701 0.853
Cl3 0.229 0.500 0.305
Cl4 0.269 0.000 0.329
Cl5 0.731 0.000 0.671
Cl6 0.771 0.500 0.695
Cl7 0.790 0.299 0.147
Cl8 0.790 0.701 0.147

***

Spin magnetization (μB/atom)
0.933 0.250